Entry from the Alexandria database: ZrSnI2 after structural relaxation (GGA-PBE).

Summary:
As for the space group: No. 225. The value obtained for the energy relative to the elements, uncorrected is 0.09 eV per atom. Its spin magnetization is 0.00 μB/f.u. As for the density of states at the Fermi level: 2.95 states/eV/f.u. The value obtained for the total energy is -3.82 eV per atom.

abc: 5.338 5.338 5.338
angles: 60.00 60.00 60.00
Fractional coordinates of all 4 atoms:
I: 0.250 0.250 0.250
I: 0.750 0.750 0.750
Sn: 0.500 0.500 0.500
Zr: 0.000 0.000 0.000